# K2Rh (GGA-PBE, optimized geometry)
data_K2Rh
_space_group_name_H-M_alt 'P 1'
_space_group_IT_number 1
_cell_length_a 5.655
_cell_length_b 5.655
_cell_length_c 7.227
_cell_angle_alpha 90.00
_cell_angle_beta 90.00
_cell_angle_gamma 120.00
loop_
_space_group_symop_operation_xyz
'x,y,z'
loop_
_atom_site_label
_atom_site_type_symbol
_atom_site_fract_x
_atom_site_fract_y
_atom_site_fract_z
K1 K 0.000 0.000 0.000
K2 K 0.000 0.000 0.500
K3 K 0.333 0.667 0.250
K4 K 0.667 0.333 0.750
Rh1 Rh 0.333 0.667 0.750
Rh2 Rh 0.667 0.333 0.250
# - Raw total energy: -14.50 eV/cell
# - Theoretical density: 3.0 g/cm3
# - Formation enthalpy at 0 K: 0.766 eV per atom
# - SG: P6_3/mmc, No. 194
# - Energy relative to the lowest polymorph listed for this composition: 0.412 eV/atom

# Te3Rh2Br (GGA-PBE, optimized geometry)
data_Te3Rh2Br
_space_group_name_H-M_alt 'P 1'
_space_group_IT_number 1
_cell_length_a 8.714
_cell_length_b 8.714
_cell_length_c 12.389
_cell_angle_alpha 126.57
_cell_angle_beta 126.57
_cell_angle_gamma 25.40
loop_
_space_group_symop_operation_xyz
'x,y,z'
loop_
_atom_site_label
_atom_site_type_symbol
_atom_site_fract_x
_atom_site_fract_y
_atom_site_fract_z
Te1 Te 0.056 0.056 0.184
Te2 Te 0.198 0.198 0.561
Te3 Te 0.307 0.307 0.946
Te4 Te 0.693 0.693 0.054
Te5 Te 0.802 0.802 0.439
Te6 Te 0.944 0.944 0.816
Rh1 Rh 0.123 0.123 0.876
Rh2 Rh 0.375 0.375 0.629
Rh3 Rh 0.625 0.625 0.371
Rh4 Rh 0.877 0.877 0.124
Br1 Br 0.444 0.444 0.312
Br2 Br 0.556 0.556 0.688
# - Raw total energy: -55.96 eV/cell
# - Theoretical density: 6.9 g/cm3
# - SG: C2/m, No. 12
# - Formation energy without anion corrections: -2.18 eV/f.u.

# Ba3GaAu (GGA-PBE, optimized geometry)
data_Ba3GaAu
_space_group_name_H-M_alt 'P 1'
_space_group_IT_number 1
_cell_length_a 10.758
_cell_length_b 10.112
_cell_length_c 6.481
_cell_angle_alpha 77.43
_cell_angle_beta 66.55
_cell_angle_gamma 36.01
loop_
_space_group_symop_operation_xyz
'x,y,z'
loop_
_atom_site_label
_atom_site_type_symbol
_atom_site_fract_x
_atom_site_fract_y
_atom_site_fract_z
Ba1 Ba 0.198 0.198 0.802
Ba2 Ba 0.213 0.595 0.405
Ba3 Ba 0.405 0.787 0.213
Ba4 Ba 0.595 0.213 0.787
Ba5 Ba 0.787 0.405 0.595
Ba6 Ba 0.802 0.802 0.198
Ga1 Ga 0.173 0.827 0.827
Ga2 Ga 0.827 0.173 0.173
Au1 Au 0.250 0.250 0.250
Au2 Au 0.750 0.750 0.750
# - Raw total energy: -28.32 eV/cell
# - Theoretical density: 6.0 g/cm3
# - Formation enthalpy at 0 K: -0.418 eV per atom
# - SG: Fmmm, No. 69
# - Energy relative to the lowest polymorph listed for this composition: 0.000 eV/atom

# UNbSn (GGA-PBE, optimized geometry)
data_UNbSn
_space_group_name_H-M_alt 'P 1'
_space_group_IT_number 1
_cell_length_a 2.908
_cell_length_b 5.690
_cell_length_c 8.483
_cell_angle_alpha 90.00
_cell_angle_beta 90.00
_cell_angle_gamma 90.00
loop_
_space_group_symop_operation_xyz
'x,y,z'
loop_
_atom_site_label
_atom_site_type_symbol
_atom_site_fract_x
_atom_site_fract_y
_atom_site_fract_z
U1 U 0.250 0.250 0.248
U2 U 0.750 0.750 0.752
Nb1 Nb 0.250 0.750 0.056
Nb2 Nb 0.750 0.250 0.944
Sn1 Sn 0.250 0.750 0.411
Sn2 Sn 0.750 0.250 0.589
# - Raw total energy: -48.08 eV/cell
# - Theoretical density: 10.6 g/cm3
# - Formation enthalpy at 0 K: 0.440 eV per atom
# - SG: Pmmn, No. 59
# - Energy relative to the lowest polymorph listed for this composition: 0.248 eV/atom

# DyAg2TeO6 (GGA-PBE, optimized geometry)
data_DyAg2TeO6
_space_group_name_H-M_alt 'P 1'
_space_group_IT_number 1
_cell_length_a 5.804
_cell_length_b 5.804
_cell_length_c 5.804
_cell_angle_alpha 58.81
_cell_angle_beta 58.81
_cell_angle_gamma 58.81
loop_
_space_group_symop_operation_xyz
'x,y,z'
loop_
_atom_site_label
_atom_site_type_symbol
_atom_site_fract_x
_atom_site_fract_y
_atom_site_fract_z
Dy1 Dy 0.000 0.000 0.000
Ag1 Ag 0.254 0.254 0.254
Ag2 Ag 0.749 0.749 0.749
Te1 Te 0.500 0.500 0.500
O1 O 0.169 0.722 0.372
O2 O 0.277 0.628 0.830
O3 O 0.372 0.169 0.722
O4 O 0.628 0.830 0.277
O5 O 0.722 0.372 0.169
O6 O 0.830 0.277 0.628
# - Raw total energy: -56.12 eV/cell
# - Theoretical density: 7.4 g/cm3
# - SG: R3, No. 146
# - Formation energy without anion corrections: -12.92 eV/f.u.

# LiBi3Pb (GGA-PBE, optimized geometry)
data_LiBi3Pb
_space_group_name_H-M_alt 'P 1'
_space_group_IT_number 1
_cell_length_a 5.298
_cell_length_b 5.298
_cell_length_c 5.298
_cell_angle_alpha 90.00
_cell_angle_beta 90.00
_cell_angle_gamma 90.00
loop_
_space_group_symop_operation_xyz
'x,y,z'
loop_
_atom_site_label
_atom_site_type_symbol
_atom_site_fract_x
_atom_site_fract_y
_atom_site_fract_z
Li1 Li 0.000 0.000 0.000
Bi1 Bi 0.000 0.000 0.500
Bi2 Bi 0.000 0.500 0.000
Bi3 Bi 0.500 0.000 0.000
Pb1 Pb 0.500 0.500 0.500
# - Raw total energy: -16.33 eV/cell
# - Theoretical density: 9.4 g/cm3
# - Formation enthalpy at 0 K: 0.187 eV per atom
# - SG: Pm-3m, No. 221
# - Energy relative to the lowest polymorph listed for this composition: 0.000 eV/atom